Entry 1:
VASP calculation (PBE) on crystalline Ho3Tl3HgTe8 at its relaxed geometry.

a = 8.771 Å, b = 8.699 Å, c = 9.601 Å
α = 116.63°, β = 90.00°, γ = 120.27°
Atoms (fractional coordinates):
Ho (0.500, 0.000, 0.500)
Ho (0.500, 0.500, 0.500)
Ho (0.000, 0.500, 0.500)
Tl (0.000, 0.000, 0.000)
Tl (0.000, 0.500, 0.000)
Tl (0.500, 0.500, 0.000)
Hg (0.000, 0.000, 0.500)
Te (0.260, 0.520, 0.284)
Te (0.740, 0.480, 0.716)
Te (0.787, 0.575, 0.307)
Te (0.213, 0.425, 0.693)
Te (0.721, 0.037, 0.258)
Te (0.279, 0.963, 0.742)
Te (0.315, 0.037, 0.258)
Te (0.685, 0.963, 0.742)

Values from the calculation:
Its uncorrected formation energy is -753 meV per atom. Its density of states at the Fermi level is 0.43 states/eV/atom.


Entry 2:
VASP calculation (PBE) on crystalline BaTcBr2 at its relaxed geometry.

a = 4.110 Å, b = 5.215 Å, c = 5.215 Å
α = 90.00°, β = 90.00°, γ = 90.00°
Atoms (fractional coordinates):
Ba (0.500, 0.000, 0.500)
Br (0.000, 0.000, 0.000)
Br (0.000, 0.500, 0.500)
Tc (0.500, 0.500, 0.000)

Values from the calculation:
Its energy above the most stable polymorph in this dataset is 182.4 meV/atom. Its uncorrected formation energy is -186 meV per atom. Its density of states at the Fermi level is 0.52 states/eV/atom.


Entry 3:
VASP calculation (PBE) on crystalline Tb2ThTc2 at its relaxed geometry.

a = 4.334 Å, b = 5.979 Å, c = 5.979 Å
α = 59.00°, β = 68.79°, γ = 68.79°
Atoms (fractional coordinates):
Tb (0.301, 0.199, 0.699)
Tb (0.699, 0.801, 0.301)
Th (0.500, 0.500, 0.000)
Tc (0.000, 0.218, 0.282)
Tc (0.000, 0.782, 0.718)

Values from the calculation:
Its calculated formation energy is -0.108 eV/atom. Its density of states at the Fermi level is 0.91 states/eV/atom.


Entry 4:
VASP calculation (PBE) on crystalline Ta3RhC at its relaxed geometry.

a = 4.770 Å, b = 4.770 Å, c = 4.770 Å
α = 90.00°, β = 90.00°, γ = 90.00°
Atoms (fractional coordinates):
C (0.500, 0.500, 0.500)
Rh (0.000, 0.000, 0.000)
Ta (0.000, 0.500, 0.000)
Ta (0.000, 0.000, 0.500)
Ta (0.500, 0.000, 0.000)

Values from the calculation:
Its energy above the most stable polymorph in this dataset is 2712.7 meV/atom. Its calculated formation energy is 2.335 eV/atom. Its density of states at the Fermi level is 1.86 states/eV/atom.